(1)
VASP calculation (PBE) on PmGdTmSc after structural relaxation.

Lattice parameters (Å, degrees): 5.555 5.555 5.555 60.00 60.00 60.00
Last column: magnetic moment on the atom in μB.
Element x y z (fractional)
Pm  0.250  0.250  0.250  -0.07
Gd  0.750  0.750  0.750  7.16
Sc  0.000  0.000  0.000  -0.01
Tm  0.500  0.500  0.500  0.01

Results
The formation enthalpy at 0 K is 91 meV/atom. The value obtained for the density of states at the Fermi level is 6.16 states/eV/f.u.



(2)
VASP calculation (PBE) on PmGdYSc after structural relaxation.

Lattice parameters (Å, degrees): 5.601 5.601 5.601 60.00 60.00 60.00
Last column: magnetic moment on the atom in μB.
Element x y z (fractional)
Y  0.750  0.750  0.750  -0.19
Gd  0.250  0.250  0.250  -7.36
Sc  0.000  0.000  0.000  -0.29
Pm  0.500  0.500  0.500  -0.23

Results
The formation enthalpy at 0 K is 131 meV/atom. The value obtained for the density of states at the Fermi level is 7.55 states/eV/f.u.



(3)
VASP calculation (PBE) on PmGd2Se after structural relaxation.

Lattice parameters (Å, degrees): 3.806 3.806 9.950 78.97 78.97 60.00
Last column: magnetic moment on the atom in μB.
Element x y z (fractional)
Gd  0.232  0.232  0.304  7.05
Gd  0.768  0.768  0.696  7.05
Pm  0.000  0.000  0.000  0.01
Se  0.500  0.500  0.500  -0.03

Results
Its uncorrected formation energy is -0.821 eV/atom. The value obtained for the density of states at the Fermi level is 4.60 states/eV/f.u.